# GGA-PBE PrTh2CrC4, relaxed
data_PrTh2CrC4
_symmetry_space_group_name_H-M 'P 1'
_symmetry_Int_Tables_number 1
_cell_length_a 3.6442
_cell_length_b 6.3911
_cell_length_c 12.5394
_cell_angle_alpha 90.00
_cell_angle_beta 90.00
_cell_angle_gamma 106.56
loop_
_symmetry_equiv_pos_as_xyz
'x,y,z'
loop_
_atom_site_label
_atom_site_type_symbol
_atom_site_fract_x
_atom_site_fract_y
_atom_site_fract_z
_atom_site_occupancy
Cr1 Cr 0.8251 0.6501 0.7500 1
Cr2 Cr 0.1749 0.3499 0.2500 1
Th1 Th 0.6325 0.2650 0.4548 1
Th2 Th 0.3675 0.7350 0.5452 1
Th3 Th 0.3675 0.7350 0.9548 1
Th4 Th 0.6325 0.2650 0.0452 1
C1 C 0.2662 0.5323 0.1363 1
C2 C 0.7338 0.4677 0.6363 1
C3 C 0.7338 0.4677 0.8637 1
C4 C 0.2662 0.5323 0.3637 1
C5 C 0.6040 0.2081 0.2500 1
C6 C 0.3960 0.7919 0.7500 1
C7 C 0.0000 0.0000 0.0000 1
C8 C 0.0000 0.0000 0.5000 1
Pr1 Pr 0.8988 0.7976 0.2500 1
Pr2 Pr 0.1012 0.2024 0.7500 1
# space-group type: Cmcm, No. 63
# ΔH_f (0 K): -0.057 eV/atom

# GGA-PBE LiCa2MgAg, relaxed
data_LiCa2MgAg
_symmetry_space_group_name_H-M 'P 1'
_symmetry_Int_Tables_number 1
_cell_length_a 5.7917
_cell_length_b 5.7917
_cell_length_c 4.8613
_cell_angle_alpha 90.00
_cell_angle_beta 90.00
_cell_angle_gamma 90.00
loop_
_symmetry_equiv_pos_as_xyz
'x,y,z'
loop_
_atom_site_label
_atom_site_type_symbol
_atom_site_fract_x
_atom_site_fract_y
_atom_site_fract_z
_atom_site_occupancy
Ca1 Ca 0.0000 0.5000 0.0000 1
Ca2 Ca 0.5000 0.0000 0.0000 1
Li1 Li 0.0000 0.0000 0.5000 1
Mg1 Mg 0.5000 0.5000 0.5000 1
Ag1 Ag 0.0000 0.0000 0.0000 1
# energy above the most stable polymorph in this dataset: 9 meV per atom
# space-group type: P4/mmm, No. 123
# ΔH_f (0 K): 0.047 eV/atom

# GGA-PBE ThZr2VC4, relaxed
data_ThZr2VC4
_symmetry_space_group_name_H-M 'P 1'
_symmetry_Int_Tables_number 1
_cell_length_a 3.3928
_cell_length_b 6.0671
_cell_length_c 11.5228
_cell_angle_alpha 90.00
_cell_angle_beta 90.00
_cell_angle_gamma 106.24
loop_
_symmetry_equiv_pos_as_xyz
'x,y,z'
loop_
_atom_site_label
_atom_site_type_symbol
_atom_site_fract_x
_atom_site_fract_y
_atom_site_fract_z
_atom_site_occupancy
C1 C 0.7376 0.4752 0.8787 1
C2 C 0.2624 0.5248 0.3787 1
C3 C 0.4295 0.8591 0.7500 1
C4 C 0.2624 0.5248 0.1213 1
C5 C 0.0000 0.0000 0.0000 1
C6 C 0.7376 0.4752 0.6213 1
C7 C 0.0000 0.0000 0.5000 1
C8 C 0.5705 0.1409 0.2500 1
V1 V 0.1627 0.3254 0.2500 1
V2 V 0.8373 0.6746 0.7500 1
Zr1 Zr 0.6305 0.2610 0.0427 1
Zr2 Zr 0.3695 0.7390 0.5427 1
Zr3 Zr 0.3695 0.7390 0.9573 1
Zr4 Zr 0.6305 0.2610 0.4573 1
Th1 Th 0.8976 0.7952 0.2500 1
Th2 Th 0.1024 0.2048 0.7500 1
# space-group type: Cmcm, No. 63
# ΔH_f (0 K): -0.445 eV/atom

# GGA-PBE Re2TeSe, relaxed
data_Re2TeSe
_symmetry_space_group_name_H-M 'P 1'
_symmetry_Int_Tables_number 1
_cell_length_a 3.0331
_cell_length_b 3.0331
_cell_length_c 8.5769
_cell_angle_alpha 90.00
_cell_angle_beta 90.00
_cell_angle_gamma 90.00
loop_
_symmetry_equiv_pos_as_xyz
'x,y,z'
loop_
_atom_site_label
_atom_site_type_symbol
_atom_site_fract_x
_atom_site_fract_y
_atom_site_fract_z
_atom_site_occupancy
Te1 Te 0.5000 0.5000 0.8213 1
Se1 Se 0.0000 0.0000 0.4157 1
Re1 Re 0.5000 0.5000 0.2392 1
Re2 Re 0.0000 0.0000 0.0238 1
# energy above the most stable polymorph in this dataset: 0 meV per atom
# space-group type: P4mm, No. 99